DFT (meta-GGA SCAN) results for a PBEsol-optimized structure of BaSO3.

Calculated values
SG = P2_1/m
energy = -16.00 eV per atom
ΔE_f (raw) = -2.424 eV/atom
density = 4474 kg/m³
N(E_F) = 0.0 states/eV per cell

a = 4.6397 Å, b = 5.4814 Å, c = 6.6012 Å
α = 90.00°, β = 106.01°, γ = 90.00°
Last column: nearest neighbours and their distance in Å.
Element x y z (fractional)
S (0.0774, 0.2500, 0.1726)  3 O 1.54
S (0.9226, 0.7500, 0.8274)  3 O 1.54
Ba (0.3406, 0.2500, 0.7260)  9 O 2.77-2.96
Ba (0.6594, 0.7500, 0.2740)  9 O 2.77-2.96
O (0.2675, 0.7500, 0.8720)  1 S 1.54
O (0.1806, 0.4713, 0.3182)  1 S 1.54
O (0.1806, 0.0287, 0.3182)  1 S 1.54
O (0.8194, 0.9713, 0.6818)  1 S 1.54
O (0.8194, 0.5287, 0.6818)  1 S 1.54
O (0.7325, 0.2500, 0.1280)  1 S 1.54